#w
Computed, not measured: crystalline Zn3CdB at its relaxed geometry at the PBE level of DFT.

spin magnetization = 0.00 μB/cell
SG = Pm-3m (221)
density of states at the Fermi level = 2.24 states/eV per cell

a = 4.9659 Å, b = 4.9659 Å, c = 4.9659 Å
α = 90.00°, β = 90.00°, γ = 90.00°
Fractional positions:
1 Zn 0.0000 0.5000 0.0000
2 Zn 0.0000 0.0000 0.5000
3 Zn 0.5000 0.0000 0.0000
4 B 0.5000 0.5000 0.5000
5 Cd 0.0000 0.0000 0.0000

=====

#x
Computed, not measured: crystalline Zn3CdB at its relaxed geometry at the PBE level of DFT.

spin magnetization = 0.00 μB/cell
SG = Pm-3m (221)
density of states at the Fermi level = 2.14 states/eV per cell

a = 4.3091 Å, b = 4.3091 Å, c = 4.3091 Å
α = 90.00°, β = 90.00°, γ = 90.00°
Fractional positions:
1 Zn 0.5000 0.0000 0.0000
2 Zn 0.0000 0.0000 0.5000
3 Zn 0.0000 0.5000 0.0000
4 Cd 0.5000 0.5000 0.5000
5 B 0.0000 0.0000 0.0000

=====

Which is the most stable structure? #x is the most stable.